[1]
DFT (GGA-PBE) results for a relaxed CdSnS2 crystal.

Lattice parameters (Å, degrees): 3.9287 3.9287 20.6237 90.00 90.00 120.00
Space group R3m (No. 160, hexagonal axes)
One atom of each set of equivalent atoms:
Cd1 0.0000 0.0000 0.0000
Sn1 0.0000 0.0000 0.8307
S1 0.0000 0.0000 0.4063
S2 0.0000 0.0000 0.5872

Calculated values
**Raw total energy**: -44.2 eV/cell
**ΔE_f (raw)**: -0.392 eV per atom

---

[2]
DFT (GGA-PBE) results for a relaxed CdSnS2 crystal.

Lattice parameters (Å, degrees): 6.283 6.283 12.199 90.00 90.00 90.00
Space group I-42d (No. 122)
One atom of each set of equivalent atoms:
Cd1 0.000 0.000 0.000
Sn1 0.000 0.000 0.500
S1 0.219 0.250 0.125

Calculated values
**Raw total energy**: -58.7 eV/cell
**ΔE_f (raw)**: -0.376 eV per atom

---

[3]
DFT (GGA-PBE) results for a relaxed CdSnS crystal.

Lattice parameters (Å, degrees): 4.882 3.736 5.395 90.00 112.48 90.00
Space group Pm (No. 6)
One atom of each set of equivalent atoms:
Cd1 0.000 0.000 0.000
Sn1 0.208 0.000 0.567
S1 0.600 0.500 0.644

Calculated values
**Raw total energy**: -9.5 eV/cell
**ΔE_f (raw)**: -0.153 eV per atom
**Polymorph energy (0 for the lowest one)**: 165 meV per atom

---

[4]
DFT (GGA-PBE) results for a relaxed CdSn2S3 crystal.

Lattice parameters (Å, degrees): 4.089 17.036 4.406 90.00 90.00 90.00
Space group Imm2 (No. 44)
One atom of each set of equivalent atoms:
Cd1 0.000 0.000 0.000
Sn1 0.000 0.343 0.958
S1 0.000 0.148 0.859
S2 0.000 0.500 0.878

Calculated values
**Raw total energy**: -47.9 eV/cell
**ΔE_f (raw)**: -0.439 eV per atom

---

[5]
DFT (GGA-PBE) results for a relaxed Cd2Sn3S8 crystal.

Lattice parameters (Å, degrees): 13.672 7.573 6.507 90.00 97.48 90.00
Space group C2/m (No. 12)
One atom of each set of equivalent atoms:
Cd1 0.222 0.000 0.369
Sn1 0.000 0.000 0.000
Sn2 0.000 0.253 0.500
S1 0.104 0.500 0.695
S2 0.106 0.242 0.203
S3 0.111 0.000 0.693

Calculated values
**Raw total energy**: -103.6 eV/cell
**ΔE_f (raw)**: -0.381 eV per atom

---

[6]
DFT (GGA-PBE) results for a relaxed Cd3SnS crystal.

Lattice parameters (Å, degrees): 5.176 5.176 5.176 90.00 90.00 90.00
Space group Pm-3m (No. 221)
One atom of each set of equivalent atoms:
Cd1 0.000 0.000 0.500
Sn1 0.500 0.500 0.500
S1 0.000 0.000 0.000

Calculated values
**Raw total energy**: -9.4 eV/cell
**ΔE_f (raw)**: 0.291 eV per atom
**Polymorph energy (0 for the lowest one)**: 0 meV per atom